#a
VASP calculation (GGA-PBE) on a relaxed structure of NbBiPO2.

Unit cell a=4.0152 b=4.0152 c=5.3445 alpha=90.00 beta=90.00 gamma=90.00
Last column: nearest neighbours and their distance in Å.
Element x y z (fractional)
1 P 0.0000 0.0000 0.5000  2 Nb 2.67, 4 Bi 2.84
2 Nb 0.0000 0.0000 0.0000  4 O 2.01
3 Bi 0.5000 0.5000 0.5000  4 P 2.84
4 O 0.0000 0.5000 0.0000  2 Nb 2.01
5 O 0.5000 0.0000 0.0000  2 Nb 2.01

Values from the calculation:
total magnetization: 0.7 μB/cell
symmetry: No. 123

=====

#b
VASP calculation (GGA-PBE) on a relaxed structure of NbBiPO2.

Unit cell a=4.1467 b=4.1467 c=5.4927 alpha=90.00 beta=90.00 gamma=90.00
Last column: nearest neighbours and their distance in Å.
Element x y z (fractional)
1 P 0.0000 0.0000 0.5000  2 Bi 2.75, 4 Nb 2.93
2 Nb 0.5000 0.5000 0.5000  4 P 2.93
3 Bi 0.0000 0.0000 0.0000  4 O 2.07
4 O 0.0000 0.5000 0.0000  2 Bi 2.07
5 O 0.5000 0.0000 0.0000  2 Bi 2.07

Values from the calculation:
total magnetization: 2.3 μB/cell
symmetry: No. 123

=====

What is the stability order? It is #a, #b, from most stable to least stable.

=====

#a
VASP calculation (GGA-PBE) on a relaxed structure of NbBiP2O.

Unit cell a=5.0397 b=3.8966 c=5.0397 alpha=90.00 beta=90.00 gamma=90.00
Last column: nearest neighbours and their distance in Å.
Element x y z (fractional)
1 P 0.0000 0.0000 0.5000  2 Nb 2.52
2 P 0.5000 0.0000 0.0000  2 Nb 2.52
3 Nb 0.0000 0.0000 0.0000  2 O 1.95
4 Bi 0.5000 0.5000 0.5000  8 P 3.19, 4 O 3.56
5 O 0.0000 0.5000 0.0000  2 Nb 1.95

Values from the calculation:
total magnetization: 0.0 μB/cell
symmetry: No. 123

=====

#b
VASP calculation (GGA-PBE) on a relaxed structure of NbBiP2O.

Unit cell a=5.1672 b=5.1672 c=4.0676 alpha=90.00 beta=90.00 gamma=90.00
Last column: nearest neighbours and their distance in Å.
Element x y z (fractional)
1 P 0.0000 0.5000 0.0000  2 Bi 2.58
2 P 0.5000 0.0000 0.0000  2 Bi 2.58
3 Nb 0.5000 0.5000 0.5000  8 P 3.29, 4 O 3.65
4 Bi 0.0000 0.0000 0.0000  2 O 2.03
5 O 0.0000 0.0000 0.5000  2 Bi 2.03

Values from the calculation:
total magnetization: 1.7 μB/cell
symmetry: No. 123

=====

What is the stability order? It is #a, #b, from most stable to least stable.